1.
## LiMn3P (GGA-PBE)

Data for a relaxed structure of LiMn3P.

a = 4.216 Å, b = 4.216 Å, c = 4.216 Å
α = 90.00°, β = 90.00°, γ = 90.00°
Fractional coordinates of all 5 atoms:
Mn 0.000 0.000 0.500
Mn 0.500 0.000 0.000
Mn 0.000 0.500 0.000
Li 0.000 0.000 0.000
P 0.500 0.500 0.500

Output
VASP energy: -30.03 eV per cell
formation energy: 0.960 eV per atom
E above lowest polymorph: 16.45 kcal/mol of atoms

2.
## LiMn2P (GGA-PBE)

Data for a relaxed structure of LiMn2P.

a = 4.467 Å, b = 4.467 Å, c = 4.467 Å
α = 134.23°, β = 134.23°, γ = 66.73°
Fractional coordinates of all 4 atoms:
Mn 0.000 0.000 0.000
Mn 0.250 0.750 0.500
P 0.500 0.500 0.000
Li 0.750 0.250 0.500

Output
VASP energy: -26.05 eV per cell
formation energy: -0.097 eV per atom

3.
## LiMn2P (GGA-PBE)

Data for a relaxed structure of LiMn2P.

a = 2.901 Å, b = 2.901 Å, c = 6.251 Å
α = 90.00°, β = 90.00°, γ = 90.00°
Fractional coordinates of all 4 atoms:
P 0.000 0.000 0.460
Mn 0.500 0.500 0.287
Mn 0.000 0.000 0.038
Li 0.500 0.500 0.715

Output
VASP energy: -26.06 eV per cell
formation energy: -0.099 eV per atom

4.
## LiMnP2 (GGA-PBE)

Data for a relaxed structure of LiMnP2.

a = 7.840 Å, b = 7.840 Å, c = 7.840 Å
α = 21.06°, β = 21.06°, γ = 21.06°
Fractional coordinates of all 4 atoms:
Mn 0.737 0.737 0.737
P 0.006 0.006 0.006
P 0.255 0.255 0.255
Li 0.503 0.503 0.503

Output
VASP energy: -21.29 eV per cell
formation energy: 0.152 eV per atom
E above lowest polymorph: 12.46 kcal/mol of atoms

- formation energy of number 3 (LiMn2P)?
  -0.099 eV per atom

Copy entry 2 word for word.
## LiMn2P (GGA-PBE)

Data for a relaxed structure of LiMn2P.

a = 4.467 Å, b = 4.467 Å, c = 4.467 Å
α = 134.23°, β = 134.23°, γ = 66.73°
Fractional coordinates of all 4 atoms:
Mn 0.000 0.000 0.000
Mn 0.250 0.750 0.500
P 0.500 0.500 0.000
Li 0.750 0.250 0.500

Output
VASP energy: -26.05 eV per cell
formation energy: -0.097 eV per atom

- What is the formula in the second record?
  LiMn2P